[1]
## BeTl2Tc (PBE)

Data for a relaxed structure of BeTl2Tc.

## Properties
Electronic total energy ... -3.854 eV per atom
Total moment ... 0.000 μB/atom

a = 4.6816 Å, b = 4.6816 Å, c = 3.4119 Å
α = 90.00°, β = 90.00°, γ = 101.16°
Closest atoms and distances in Å follow each position.
Sites, in units of the cell vectors:
Be: 0.5000 0.0000 0.5000  8 Tl 2.90, 2 Tc 2.97
Tl: 0.0000 0.0000 0.0000  4 Be 2.90, 4 Tc 2.90, 2 Tl 2.97
Tl: 0.5000 0.5000 0.0000  4 Tc 2.90, 4 Be 2.90, 2 Tl 2.97
Tc: 0.0000 0.5000 0.5000  8 Tl 2.90, 2 Be 2.97


[2]
## BeTlTc2 (PBE)

Data for a relaxed structure of BeTlTc2.

## Properties
Electronic total energy ... -5.997 eV per atom
Total moment ... 0.008 μB/atom

a = 5.0369 Å, b = 5.0369 Å, c = 5.0369 Å
α = 135.59°, β = 135.59°, γ = 64.62°
Closest atoms and distances in Å follow each position.
Sites, in units of the cell vectors:
Be: 0.7500 0.2500 0.5000  4 Tl 2.69, 8 Tc 2.86
Tl: 0.2500 0.7500 0.5000  4 Be 2.69, 8 Tc 2.86
Tc: 0.0000 0.0000 0.0000  4 Tc 2.69, 4 Be 2.86, 4 Tl 2.86
Tc: 0.5000 0.5000 0.0000  4 Tc 2.69, 4 Tl 2.86, 4 Be 2.86


[3]
## Be2TlTc (PBE)

Data for a relaxed structure of Be2TlTc.

## Properties
Electronic total energy ... -4.356 eV per atom
Total moment ... 0.000 μB/atom

a = 6.5713 Å, b = 6.5713 Å, c = 5.3923 Å
α = 52.46°, β = 52.46°, γ = 90.00°
Closest atoms and distances in Å follow each position.
Sites, in units of the cell vectors:
Be: 0.5981 0.1250 0.2500  2 Tc 2.31, 2 Tl 2.55
Be: 0.1519 0.6250 0.2500  2 Tc 2.31, 2 Tl 2.55
Be: 0.3750 0.4019 0.7500  2 Tc 2.31, 2 Tl 2.55
Be: 0.8750 0.8481 0.7500  2 Tc 2.31, 2 Tl 2.55
Tl: 0.0000 0.0000 0.0000  4 Be 2.55, 2 Tc 2.74
Tl: 0.7500 0.2500 0.5000  4 Be 2.55, 2 Tc 2.74
Tc: 0.5000 0.5000 0.0000  4 Be 2.31
Tc: 0.2500 0.7500 0.5000  4 Be 2.31


Number 1: E_form 0.85 eV/atom, calculated density 11.67 g cm⁻³, energy relative to the lowest polymorph listed for this composition 0.423 eV per atom. Number 2: E_form 0.71 eV/atom, calculated density 11.02 g cm⁻³, energy relative to the lowest polymorph listed for this composition 0.511 eV per atom. Number 3: E_form 0.69 eV/atom, calculated density 9.01 g cm⁻³, energy relative to the lowest polymorph listed for this composition 0.451 eV per atom.